Material: MgRe3
Method: DFT, GGA-PBE
State: optimized geometry

The value obtained for the excess energy over the best structure of this formula in the dataset is 143.9 meV/atom. As for the calculated formation energy: 322 meV/atom. The total energy comes out at -150.6 eV per cell.

Cell and atoms, written as extended XYZ:
```
16
Lattice="-3.169 -2.116 3.139 7.005 -1.958 5.752 -0.722 4.821 2.521" Properties=species:S:1:pos:R:3 pbc="T T T"
Re 1.080 -1.984 5.709
Re 4.883 -0.921 4.952
Re 3.154 -1.014 7.026
Re -1.769 1.668 6.459
Re -1.258 3.651 3.000
Re 2.034 2.731 5.703
Re -0.040 1.761 4.386
Mg 2.900 1.501 8.191
Re 0.616 0.558 6.689
Mg 4.638 1.534 6.086
Mg 0.214 -0.753 3.220
Re 2.498 0.189 4.722
Re 5.789 -0.731 7.425
Mg -1.524 -0.787 5.325
Re 4.372 -2.904 8.412
Re -2.675 1.478 3.986
```

=====

Material: Tb2PrTc
Method: DFT, GGA-PBE
State: optimized geometry

The value obtained for the excess energy over the best structure of this formula in the dataset is 68.9 meV/atom. As for the calculated formation energy: 31 meV/atom. The total energy comes out at -24.3 eV per cell.

Cell and atoms, written as extended XYZ:
```
4
Lattice="3.474 0.000 0.000 0.000 3.474 0.000 0.000 0.000 9.208" Properties=species:S:1:pos:R:3 pbc="T T T"
Tc 1.737 1.737 0.000
Tb 0.000 0.000 1.655
Tb 0.000 0.000 7.553
Pr 1.737 1.737 4.604
```

=====

Material: Pa2Br3F7
Method: DFT, GGA-PBE
State: optimized geometry

As for the formation energy from raw total energies: -2.7352 eV/atom. The total energy comes out at -69.9 eV per cell.

Cell and atoms, written as extended XYZ:
```
12
Lattice="4.497 0.000 0.000 0.000 4.448 -0.661 0.000 -0.546 11.630" Properties=species:S:1:pos:R:3 pbc="T T T"
F 0.000 1.379 9.287
Br 2.248 2.826 3.723
F 2.248 3.603 8.959
F 0.000 3.270 6.715
F 0.000 0.000 0.000
Pa 0.000 0.340 2.292
F 2.248 0.299 2.011
F 0.000 0.632 4.254
Br 2.248 1.076 7.246
F 0.000 2.523 1.682
Pa 0.000 3.562 8.678
Br 2.248 2.224 -0.330
```